# Pm2Ho5Tm2, optimized geometry, DFT PBE
# **Polymorph energy (0 for the lowest one)**: 10.9 kJ/mol of atoms
# **Size of the total moment**: 0.00 Bohr magnetons per cell
data_Pm2Ho5Tm2
_cell_length_a 14.857
_cell_length_b 11.687
_cell_length_c 6.702
_cell_angle_alpha 90.00
_cell_angle_beta 90.00
_cell_angle_gamma 90.00
_space_group_name_H-M_alt 'I m a 2'
_space_group_IT_number 46
_space_group_name_Hall 'I 2 -2a'
loop_
_atom_site_label
_atom_site_fract_x
_atom_site_fract_y
_atom_site_fract_z
Pm1 0.127 0.003 0.000
Ho1 0.053 0.245 0.650
Ho2 0.143 0.736 0.828
Ho3 0.250 0.250 0.350
Tm1 0.000 0.000 0.454
Tm2 0.250 0.513 0.052